## w
This record from Alexandria describes a relaxed Pr2Nd5Sc2 crystal. The functional is PBE-GGA.

## Properties
As for the spin magnetization: 0.00 μB/f.u. The value obtained for the density of states at the Fermi level is 28.52 states/eV/cell.

a = 11.8105 Å, b = 11.8105 Å, c = 11.8105 Å
α = 59.31°, β = 128.65°, γ = 152.37°
Closest atoms and distances in Å follow each position.
Element x y z (fractional)
Pr 0.0000 0.0000 0.0000  6 Sc 3.41-3.60, 2 Nd 3.51
Pr 0.0000 0.5000 0.5000  6 Sc 3.41-3.60, 2 Nd 3.51
Pr 0.4437 0.2492 0.6945  10 Nd 3.47-3.72
Pr 0.5547 0.7492 0.3055  10 Nd 3.47-3.72
Nd 0.1307 0.1574 0.2892  1 Sc 3.12, 2 Pr 3.48
Nd 0.1307 0.3414 0.4732  1 Sc 3.12, 2 Pr 3.48
Nd 0.1563 0.7487 0.9076  6 Nd 3.40-3.54, 2 Pr 3.56-3.57
Nd 0.3626 0.6114 0.9732  2 Sc 3.25-3.33, 1 Pr 3.47, 1 Nd 3.54
Nd 0.3626 0.8894 0.2512  2 Sc 3.25-3.33, 1 Pr 3.47, 1 Nd 3.54
Nd 0.6382 0.1114 0.7488  2 Sc 3.25-3.33, 1 Pr 3.47, 1 Nd 3.54
Nd 0.6382 0.3894 0.0268  2 Sc 3.25-3.33, 1 Pr 3.47, 1 Nd 3.54
Nd 0.8411 0.2487 0.0924  6 Nd 3.40-3.54, 2 Pr 3.56-3.57
Nd 0.8682 0.6574 0.5268  1 Sc 3.12, 2 Pr 3.48
Nd 0.8682 0.8414 0.7108  1 Sc 3.12, 2 Pr 3.48
Sc 0.3383 0.0465 0.3853  3 Nd 3.12-3.33, 2 Sc 3.35, 2 Pr 3.41
Sc 0.3383 0.4530 0.7918  3 Nd 3.12-3.33, 2 Sc 3.35, 2 Pr 3.41
Sc 0.6612 0.5465 0.2082  3 Nd 3.12-3.33, 2 Sc 3.35, 2 Pr 3.41
Sc 0.6612 0.9530 0.6147  3 Nd 3.12-3.33, 2 Sc 3.35, 2 Pr 3.41

=====

## x
This record from Alexandria describes a relaxed Pr2Nd5Sc2 crystal. The functional is PBE-GGA.

## Properties
As for the spin magnetization: 0.00 μB/f.u. The value obtained for the density of states at the Fermi level is 14.20 states/eV/cell.

a = 8.0281 Å, b = 8.0281 Å, c = 8.0525 Å
α = 107.67°, β = 107.67°, γ = 36.93°
Closest atoms and distances in Å follow each position.
Element x y z (fractional)
Pr 0.1071 0.1071 0.1629  1 Pr 3.47, 4 Sc 3.54, 7 Nd 3.59-3.66
Pr 0.8929 0.8929 0.8371  1 Pr 3.47, 4 Sc 3.54, 7 Nd 3.59-3.66
Nd 0.0000 0.0000 0.5000  6 Nd 3.56-3.58, 2 Pr 3.59, 4 Sc 3.63
Nd 0.2209 0.2209 0.8360  6 Nd 3.57-3.68, 3 Sc 3.57-3.59, 3 Pr 3.59-3.65
Nd 0.3357 0.3357 0.4974  7 Nd 3.56-3.68, 2 Sc 3.59-3.61, 3 Pr 3.63-3.66
Nd 0.6643 0.6643 0.5026  7 Nd 3.56-3.68, 2 Sc 3.59-3.61, 3 Pr 3.63-3.66
Nd 0.7791 0.7791 0.1640  6 Nd 3.57-3.68, 3 Sc 3.57-3.59, 3 Pr 3.59-3.65
Sc 0.4448 0.4448 0.1605  1 Sc 3.51, 4 Pr 3.54, 7 Nd 3.57-3.63
Sc 0.5552 0.5552 0.8395  1 Sc 3.51, 4 Pr 3.54, 7 Nd 3.57-3.63

=====

Unit: meV/atom. Relative energies: w 67; x 0.

=====

## w
This record from Alexandria describes a relaxed PrNd4Sc2 crystal. The functional is PBE-GGA.

## Properties
As for the spin magnetization: 0.00 μB/f.u. The value obtained for the density of states at the Fermi level is 19.55 states/eV/cell.

a = 8.0456 Å, b = 8.0456 Å, c = 16.6611 Å
α = 90.68°, β = 90.68°, γ = 154.44°
Closest atoms and distances in Å follow each position.
Element x y z (fractional)
Pr 0.1932 0.8068 0.7500  4 Sc 3.27, 2 Pr 3.56, 4 Nd 3.58-3.60
Pr 0.8068 0.1932 0.2500  4 Sc 3.27, 2 Pr 3.56, 4 Nd 3.58-3.60
Nd 0.0762 0.1801 0.4196  2 Sc 3.23-3.55, 4 Nd 3.31-3.56, 1 Pr 3.60
Nd 0.1801 0.0762 0.9196  2 Sc 3.23-3.55, 4 Nd 3.31-3.56, 1 Pr 3.60
Nd 0.2627 0.6159 0.9254  2 Sc 3.31-3.69, 4 Nd 3.53-3.70, 1 Pr 3.58
Nd 0.3841 0.7373 0.5746  2 Sc 3.31-3.69, 4 Nd 3.53-3.70, 1 Pr 3.58
Nd 0.6159 0.2627 0.4254  2 Sc 3.31-3.69, 4 Nd 3.53-3.70, 1 Pr 3.58
Nd 0.7373 0.3841 0.0746  2 Sc 3.31-3.69, 4 Nd 3.53-3.70, 1 Pr 3.58
Nd 0.8199 0.9238 0.0804  2 Sc 3.23-3.55, 4 Nd 3.31-3.56, 1 Pr 3.60
Nd 0.9238 0.8199 0.5804  2 Sc 3.23-3.55, 4 Nd 3.31-3.56, 1 Pr 3.60
Sc 0.1323 0.8677 0.2500  2 Sc 2.96, 2 Pr 3.27
Sc 0.4819 0.5181 0.2500  2 Sc 2.96, 2 Nd 3.23, 2 Pr 3.27
Sc 0.5181 0.4819 0.7500  2 Sc 2.96, 2 Nd 3.23, 2 Pr 3.27
Sc 0.8677 0.1323 0.7500  2 Sc 2.96, 2 Pr 3.27

=====

## x
This record from Alexandria describes a relaxed PrNd4Sc2 crystal. The functional is PBE-GGA.

## Properties
As for the spin magnetization: 0.00 μB/f.u. The value obtained for the density of states at the Fermi level is 26.02 states/eV/cell.

a = 8.7391 Å, b = 6.5236 Å, c = 9.0023 Å
α = 90.00°, β = 117.52°, γ = 90.00°
Closest atoms and distances in Å follow each position.
Element x y z (fractional)
Pr 0.2481 0.2500 0.2633  4 Nd 3.26-3.57, 4 Sc 3.28-3.54
Pr 0.7519 0.7500 0.7367  4 Nd 3.26-3.57, 4 Sc 3.28-3.54
Nd 0.0081 0.7500 0.5649  1 Pr 3.26, 5 Nd 3.35-3.54, 1 Sc 3.48
Nd 0.0573 0.2500 0.8328  4 Sc 3.25-3.57, 1 Nd 3.35, 1 Pr 3.44
Nd 0.4093 0.0067 0.7718  3 Nd 3.17-3.54, 3 Sc 3.43-3.53
Nd 0.4093 0.4933 0.7718  3 Nd 3.17-3.54, 3 Sc 3.43-3.53
Nd 0.5907 0.5067 0.2282  3 Nd 3.17-3.54, 3 Sc 3.43-3.53
Nd 0.5907 0.9933 0.2282  3 Nd 3.17-3.54, 3 Sc 3.43-3.53
Nd 0.9427 0.7500 0.1672  4 Sc 3.25-3.57, 1 Nd 3.35, 1 Pr 3.44
Nd 0.9919 0.2500 0.4351  1 Pr 3.26, 5 Nd 3.35-3.54, 1 Sc 3.48
Sc 0.2028 0.7500 0.0001  6 Nd 3.25-3.57, 1 Sc 3.35, 1 Pr 3.54
Sc 0.3642 0.7500 0.4181  3 Pr 3.28-3.51, 5 Nd 3.31-3.53, 1 Sc 3.35
Sc 0.6358 0.2500 0.5819  3 Pr 3.28-3.51, 5 Nd 3.31-3.53, 1 Sc 3.35
Sc 0.7972 0.2500 0.9999  6 Nd 3.25-3.57, 1 Sc 3.35, 1 Pr 3.54

=====

Unit: meV/atom. Relative energies: w 43; x 0.

=====

## w
This record from Alexandria describes a relaxed PrNd6Sc2 crystal. The functional is PBE-GGA.

## Properties
As for the spin magnetization: 0.00 μB/f.u. The value obtained for the density of states at the Fermi level is 16.62 states/eV/cell.

a = 10.0222 Å, b = 10.0222 Å, c = 3.6429 Å
α = 94.23°, β = 94.23°, γ = 125.46°
Closest atoms and distances in Å follow each position.
Element x y z (fractional)
Pr 0.0000 0.0000 0.0000  4 Nd 3.43-3.63, 4 Sc 3.44, 2 Pr 3.64
Nd 0.1551 0.4987 0.1906  7 Nd 3.32-3.67, 3 Sc 3.38-3.60
Nd 0.3336 0.3336 0.6886  2 Pr 3.43-3.63, 8 Nd 3.50-3.64
Nd 0.4987 0.1551 0.1906  7 Nd 3.32-3.67, 3 Sc 3.38-3.60
Nd 0.5013 0.8449 0.8094  7 Nd 3.32-3.67, 3 Sc 3.38-3.60
Nd 0.6664 0.6664 0.3114  2 Pr 3.43-3.63, 8 Nd 3.50-3.64
Nd 0.8449 0.5013 0.8094  7 Nd 3.32-3.67, 3 Sc 3.38-3.60
Sc 0.1641 0.8359 0.5000  6 Nd 3.38-3.60, 2 Pr 3.44, 2 Sc 3.64
Sc 0.8359 0.1641 0.5000  6 Nd 3.38-3.60, 2 Pr 3.44, 2 Sc 3.64

=====

## x
This record from Alexandria describes a relaxed PrNd6Sc2 crystal. The functional is PBE-GGA.

## Properties
As for the spin magnetization: 0.00 μB/f.u. The value obtained for the density of states at the Fermi level is 28.14 states/eV/cell.

a = 8.1017 Å, b = 8.1017 Å, c = 10.4437 Å
α = 90.00°, β = 90.00°, γ = 90.00°
Closest atoms and distances in Å follow each position.
Element x y z (fractional)
Pr 0.0000 0.0000 0.0000  6 Nd 3.08-3.30
Pr 0.5000 0.5000 0.5000  6 Nd 3.08-3.30
Nd 0.2312 0.2312 0.5000  1 Pr 3.08, 2 Sc 3.15
Nd 0.2427 0.2427 0.1697  2 Sc 2.95-3.28, 1 Pr 3.30
Nd 0.2427 0.2427 0.8303  2 Sc 2.95-3.28, 1 Pr 3.30
Nd 0.2573 0.7427 0.3303  2 Sc 2.95-3.28, 1 Pr 3.30
Nd 0.2573 0.7427 0.6697  2 Sc 2.95-3.28, 1 Pr 3.30
Nd 0.2688 0.7312 0.0000  1 Pr 3.08, 2 Sc 3.15
Nd 0.7312 0.2688 0.0000  1 Pr 3.08, 2 Sc 3.15
Nd 0.7427 0.2573 0.3303  2 Sc 2.95-3.28, 1 Pr 3.30
Nd 0.7427 0.2573 0.6697  2 Sc 2.95-3.28, 1 Pr 3.30
Nd 0.7573 0.7573 0.1697  2 Sc 2.95-3.28, 1 Pr 3.30
Nd 0.7573 0.7573 0.8303  2 Sc 2.95-3.28, 1 Pr 3.30
Nd 0.7688 0.7688 0.5000  1 Pr 3.08, 2 Sc 3.15
Sc 0.0000 0.0000 0.3369  6 Nd 2.95-3.28
Sc 0.0000 0.0000 0.6631  6 Nd 2.95-3.28
Sc 0.5000 0.5000 0.1631  6 Nd 2.95-3.28
Sc 0.5000 0.5000 0.8369  6 Nd 2.95-3.28

=====

Unit: meV/atom. Relative energies: w 0; x 437.

=====

## w
This record from Alexandria describes a relaxed PrNdSc4 crystal. The functional is PBE-GGA.

## Properties
As for the spin magnetization: 6.61 μB/f.u. The value obtained for the density of states at the Fermi level is 11.09 states/eV/cell.

a = 6.3664 Å, b = 6.3664 Å, c = 6.3664 Å
α = 60.00°, β = 60.00°, γ = 60.00°
Closest atoms and distances in Å follow each position.
Element x y z (fractional)
Pr 0.0000 0.0000 0.0000  12 Sc 3.73, 4 Nd 3.90
Nd 0.7500 0.7500 0.7500  12 Sc 3.73, 4 Pr 3.90
Sc 0.3751 0.3751 0.3751  6 Sc 3.18
Sc 0.3751 0.3751 0.8748  6 Sc 3.18
Sc 0.3751 0.8748 0.3751  6 Sc 3.18
Sc 0.8748 0.3751 0.3751  6 Sc 3.18

=====

## x
This record from Alexandria describes a relaxed PrNdSc4 crystal. The functional is PBE-GGA.

## Properties
As for the spin magnetization: 0.00 μB/f.u. The value obtained for the density of states at the Fermi level is 21.98 states/eV/cell.

a = 9.9389 Å, b = 9.9389 Å, c = 5.4094 Å
α = 90.00°, β = 90.00°, γ = 141.03°
Closest atoms and distances in Å follow each position.
Element x y z (fractional)
Pr 0.1247 0.8753 0.7500  2 Nd 3.32, 12 Sc 3.53-3.54
Pr 0.8753 0.1247 0.2500  2 Nd 3.32, 12 Sc 3.53-3.54
Nd 0.3747 0.6253 0.2500  2 Pr 3.32, 12 Sc 3.53-3.54
Nd 0.6253 0.3747 0.7500  2 Pr 3.32, 12 Sc 3.53-3.54
Sc 0.0419 0.4586 0.7500  5 Sc 3.12-3.32
Sc 0.2093 0.2925 0.7500  5 Sc 3.12-3.33
Sc 0.2925 0.2093 0.2500  5 Sc 3.12-3.33
Sc 0.4586 0.0419 0.2500  5 Sc 3.12-3.32
Sc 0.5414 0.9581 0.7500  5 Sc 3.12-3.32
Sc 0.7075 0.7907 0.7500  5 Sc 3.12-3.33
Sc 0.7907 0.7075 0.2500  5 Sc 3.12-3.33
Sc 0.9581 0.5414 0.2500  5 Sc 3.12-3.32

=====

Unit: meV/atom. Relative energies: w 145; x 0.

=====

## w
This record from Alexandria describes a relaxed Pr8Nd3Sc2 crystal. The functional is PBE-GGA.

## Properties
As for the spin magnetization: 0.00 μB/f.u. The value obtained for the density of states at the Fermi level is 22.66 states/eV/cell.

a = 8.8818 Å, b = 8.8818 Å, c = 6.2176 Å
α = 107.39°, β = 107.39°, γ = 83.70°
Closest atoms and distances in Å follow each position.
Element x y z (fractional)
Pr 0.0546 0.0546 0.2947  2 Sc 3.26-3.27, 5 Pr 3.36-3.57, 2 Nd 3.47
Pr 0.0705 0.5787 0.8284  2 Sc 3.40-3.65, 4 Pr 3.44-3.76, 2 Nd 3.66-3.69
Pr 0.3447 0.3447 0.4434  3 Nd 3.24-3.49, 1 Sc 3.36, 1 Pr 3.57
Pr 0.4213 0.9295 0.1716  2 Sc 3.40-3.65, 4 Pr 3.44-3.76, 2 Nd 3.66-3.69
Pr 0.5787 0.0705 0.8284  2 Sc 3.40-3.65, 4 Pr 3.44-3.76, 2 Nd 3.66-3.69
Pr 0.6553 0.6553 0.5566  3 Nd 3.24-3.49, 1 Sc 3.36, 1 Pr 3.57
Pr 0.9295 0.4213 0.1716  2 Sc 3.40-3.65, 4 Pr 3.44-3.76, 2 Nd 3.66-3.69
Pr 0.9454 0.9454 0.7053  2 Sc 3.26-3.27, 5 Pr 3.36-3.57, 2 Nd 3.47
Nd 0.2552 0.7448 0.5000  8 Pr 3.47-3.88
Nd 0.5000 0.5000 0.0000  2 Pr 3.24, 2 Sc 3.55
Nd 0.7448 0.2552 0.5000  8 Pr 3.47-3.88
Sc 0.2115 0.2115 0.8564  7 Pr 3.26-3.65, 1 Nd 3.55
Sc 0.7885 0.7885 0.1436  7 Pr 3.26-3.65, 1 Nd 3.55

=====

## x
This record from Alexandria describes a relaxed Pr8Nd3Sc2 crystal. The functional is PBE-GGA.

## Properties
As for the spin magnetization: 0.00 μB/f.u. The value obtained for the density of states at the Fermi level is 19.57 states/eV/cell.

a = 10.7980 Å, b = 10.7980 Å, c = 5.8155 Å
α = 90.04°, β = 90.04°, γ = 42.71°
Closest atoms and distances in Å follow each position.
Element x y z (fractional)
Pr 0.0936 0.6812 0.9995  1 Nd 3.23, 3 Pr 3.24-3.61, 2 Sc 3.38-3.45
Pr 0.1815 0.1815 0.5014  2 Sc 3.31, 4 Pr 3.60-3.61
Pr 0.3188 0.9064 0.0005  1 Nd 3.23, 3 Pr 3.24-3.61, 2 Sc 3.38-3.45
Pr 0.3657 0.3657 0.5004  2 Nd 3.53, 2 Sc 3.60-3.61, 5 Pr 3.71-3.74
Pr 0.6343 0.6343 0.4996  2 Nd 3.53, 2 Sc 3.60-3.61, 5 Pr 3.71-3.74
Pr 0.6812 0.0936 0.9995  1 Nd 3.23, 3 Pr 3.24-3.61, 2 Sc 3.38-3.45
Pr 0.8185 0.8185 0.4986  2 Sc 3.31, 4 Pr 3.60-3.61
Pr 0.9064 0.3188 0.0005  1 Nd 3.23, 3 Pr 3.24-3.61, 2 Sc 3.38-3.45
Nd 0.2107 0.7893 0.5000  3 Nd 3.31-3.69, 6 Pr 3.53-3.69
Nd 0.5000 0.5000 0.0000  4 Pr 3.23
Nd 0.7893 0.2107 0.5000  3 Nd 3.31-3.69, 6 Pr 3.53-3.69
Sc 0.2599 0.2599 0.0016  8 Pr 3.31-3.61
Sc 0.7401 0.7401 0.9984  8 Pr 3.31-3.61

=====

Unit: meV/atom. Relative energies: w 0; x 68.